[1]
This record from Alexandria describes PmErTmCu after structural relaxation. The functional is PBE-GGA.

Structure (POSCAR):
```
PmErTmCu
1.0
-1.3140 1.7557 2.6952
1.9752 -1.8574 2.1729
6.3446 5.8826 -0.7387
Pm Er Tm Cu
1 1 1 1
direct
0.0000 0.0000 0.0724
0.5000 0.5000 0.7639
0.5000 0.5000 0.3793
0.0000 0.0000 0.5690
```

Values from the calculation:
* formation energy from the elements: -0.114 eV per atom

=====

[2]
This record from Alexandria describes Tb4AlTe3 after structural relaxation. The functional is PBE-GGA.

Structure (POSCAR):
```
Tb4AlTe3
1.0
4.2847 0.0000 0.0000
0.0000 7.6095 -0.0232
0.0000 -2.4211 7.2141
Tb Al Te
4 1 3
direct
0.0000 0.2354 0.2354
0.5000 0.7619 0.2381
0.0000 0.7646 0.7646
0.5000 0.2381 0.7619
0.5000 0.0000 0.0000
0.0000 0.0000 0.5000
0.5000 0.5000 0.5000
0.0000 0.5000 0.0000
```

Values from the calculation:
* E_form (uncorrected): -1.09 eV/atom

=====

[3]
This record from Alexandria describes FeNi3H after structural relaxation. The functional is PBE-GGA.

Structure (POSCAR):
```
FeNi3H
1.0
-3.0598 2.6596 0.8042
-1.5019 -3.4247 5.6120
4.4288 4.2542 2.7813
Fe Ni H
4 12 4
direct
0.7465 0.7013 0.4509
0.2535 0.2987 0.5491
0.2465 0.7987 0.0491
0.7535 0.2013 0.9509
0.2491 0.1651 0.1662
0.7509 0.8349 0.8338
0.7491 0.3349 0.3338
0.2509 0.6651 0.6662
0.2473 0.5461 0.2962
0.7527 0.4539 0.7038
0.7473 0.9539 0.2038
0.2527 0.0461 0.7962
0.7447 0.0834 0.5844
0.2553 0.9166 0.4156
0.2447 0.4166 0.9156
0.7553 0.5834 0.0844
0.4838 0.3796 0.1320
0.5162 0.6204 0.8680
0.9838 0.1204 0.3680
0.0162 0.8796 0.6320
```

Values from the calculation:
* calculated total energy: -5.8834 eV/atom

=====

[4]
This record from Alexandria describes La2BiP3Rh12 after structural relaxation. The functional is PBE-GGA.

Structure (POSCAR):
```
La2BiP3Rh12
1.0
-3.3550 -6.6279 1.1782
-1.7319 -3.7506 -6.2854
4.3780 -5.9657 -1.3477
La Bi P Rh
2 1 3 12
direct
0.6025 0.6025 0.6025
0.3975 0.3975 0.3975
0.0000 0.0000 0.0000
0.5000 0.0000 0.0000
0.0000 0.5000 0.0000
0.0000 0.0000 0.5000
0.3384 0.3384 0.9054
0.8588 0.8588 0.3969
0.3969 0.8588 0.8588
0.9054 0.3384 0.3384
0.8588 0.3969 0.8588
0.3384 0.9054 0.3384
0.6616 0.6616 0.0946
0.1412 0.1412 0.6031
0.6031 0.1412 0.1412
0.0946 0.6616 0.6616
0.1412 0.6031 0.1412
0.6616 0.0946 0.6616
```

Values from the calculation:
* formation energy from the elements: -0.232 eV per atom

=====

[5]
This record from Alexandria describes TlIr after structural relaxation. The functional is PBE-GGA.

Structure (POSCAR):
```
TlIr
1.0
-1.0974 0.7335 -4.2388
-3.1790 -0.3893 0.7556
-1.9986 4.9805 1.3792
Ir Tl
2 2
direct
0.0000 0.7986 0.0288
0.5000 0.9514 0.7212
0.0000 0.5270 0.5690
0.5000 0.2230 0.1810
```

Values from the calculation:
* formation energy from the elements: 0.563 eV per atom

=====

[6]
This record from Alexandria describes Na2Hf2NpSe6 after structural relaxation. The functional is PBE-GGA.

Structure (POSCAR):
```
Na2Hf2NpSe6
1.0
-5.6903 -3.6059 1.0973
5.3079 -2.8037 -3.2482
2.7639 -0.1584 6.9659
Na Hf Np Se
2 2 1 6
direct
0.8390 0.1610 0.0000
0.1610 0.8390 0.0000
0.3331 0.6669 0.5000
0.6669 0.3331 0.5000
0.0000 0.0000 0.5000
0.7167 0.7167 0.7221
0.0714 0.4244 0.7219
0.2833 0.2833 0.2779
0.4244 0.0714 0.7219
0.9286 0.5756 0.2781
0.5756 0.9286 0.2781
```

Values from the calculation:
* E_form (uncorrected): -1.26 eV/atom

=====

[7]
This record from Alexandria describes Cd3CuAu4 after structural relaxation. The functional is PBE-GGA.

Structure (POSCAR):
```
Cd3CuAu4
1.0
-2.8721 0.6603 -3.0336
-3.1456 -0.9570 2.7698
5.6886 8.9003 -0.5004
Cd Cu Au
3 1 4
direct
0.0000 0.5000 0.0000
0.2515 0.2547 0.5031
0.7485 0.7453 0.4969
0.5000 0.0000 0.0000
0.6203 0.8608 0.2406
0.3797 0.1392 0.7594
0.8815 0.6442 0.7629
0.1185 0.3558 0.2371
```

Values from the calculation:
* formation energy from the elements: -0.117 eV per atom

=====

[8]
This record from Alexandria describes KMgHg4 after structural relaxation. The functional is PBE-GGA.

Structure (POSCAR):
```
KMgHg4
1.0
4.4462 0.0000 0.0000
0.0000 4.4462 0.0000
0.0000 0.0000 9.7349
K Mg Hg
1 1 4
direct
0.0000 0.0000 0.0000
0.5000 0.5000 0.5000
0.5000 0.0000 0.7050
0.0000 0.5000 0.7050
0.5000 0.0000 0.2950
0.0000 0.5000 0.2950
```

Values from the calculation:
* formation energy from the elements: -0.117 eV per atom

=====

Number 8 is which compound? KMgHg4